[1]
PuScC | PBE | relaxed

abc: 3.473 6.845 7.141
angles: 90.23 90.00 90.00
Positions (direct):
Sc  0.750  0.375  0.631
Sc  0.250  0.625  0.369
Sc  0.250  0.125  0.369
Sc  0.750  0.875  0.631
Pu  0.750  0.631  0.984
Pu  0.750  0.131  0.984
Pu  0.250  0.869  0.016
Pu  0.250  0.369  0.016
C  0.750  0.876  0.296
C  0.750  0.376  0.296
C  0.250  0.124  0.704
C  0.250  0.624  0.704

=====

[2]
PuScC | PBE | relaxed

abc: 3.338 3.338 6.045
angles: 90.00 90.00 120.00
Last column: magnetic moment on the atom in μB.
Positions (direct):
Pu  0.333  0.667  0.562  5.12
Sc  0.000  0.000  0.118  0.14
C  0.667  0.333  0.320  -0.12

=====

Number 1: formation energy from the elements 45 meV per atom. Number 2: formation energy from the elements -174 meV per atom.